The following is a DFT calculation (GGA-PBE) of a relaxed Ca2AlPd2 crystal.

Output
* E_tot: -4.09 eV/atom
* energy of formation: -0.467 eV per atom

The structure in POSCAR format:
```
Ca2AlPd2
1.0
-2.837 2.837 3.791
2.837 -2.837 3.791
2.837 2.837 -3.791
Ca Al Pd
2 1 2
Direct
0.250 0.750 0.500
0.750 0.250 0.500
0.000 0.000 0.000
0.323 0.323 0.000
0.677 0.677 0.000
```